[1]
Here is a relaxed structure of Cr3Ir4Rh from Alexandria. Energies are from PBE.

Cell and atoms, written as extended XYZ:
```
8
Lattice="-1.905 1.905 7.481 1.905 -1.905 7.481 1.905 1.905 -7.481" Properties=species:S:1:pos:R:3 pbc="T T T"
Cr 0.000 0.000 0.000
Cr 0.000 0.000 3.734
Cr 0.000 0.000 11.228
Ir 1.905 0.000 1.949
Ir 1.905 0.000 5.532
Ir 0.000 1.905 1.949
Ir 0.000 1.905 5.532
Rh 0.000 0.000 7.481
```

Results
crystal system	tetragonal
final energy	-9.144	eV/atom

***

[2]
Here is a relaxed structure of CrIrRh2 from Alexandria. Energies are from PBE.

Cell and atoms, written as extended XYZ:
```
4
Lattice="4.639 0.000 0.000 0.000 2.724 0.000 -1.500 0.000 4.396" Properties=species:S:1:pos:R:3 pbc="T T T"
Cr 0.000 0.000 0.000
Ir 2.320 1.362 0.000
Rh -0.750 1.362 2.198
Rh 1.569 0.000 2.198
```

Results
crystal system	monoclinic
final energy	-8.387	eV/atom

***

[3]
Here is a relaxed structure of CrIr2Rh5 from Alexandria. Energies are from PBE.

Cell and atoms, written as extended XYZ:
```
8
Lattice="-1.913 1.913 7.682 1.913 -1.913 7.682 1.913 1.913 -7.682" Properties=species:S:1:pos:R:3 pbc="T T T"
Cr 0.000 0.000 0.000
Ir 0.000 0.000 3.879
Ir 0.000 0.000 11.484
Rh 1.913 0.000 1.898
Rh 1.913 0.000 5.784
Rh 0.000 0.000 7.682
Rh 0.000 1.913 1.898
Rh 0.000 1.913 5.784
```

Results
energy relative to the lowest polymorph listed for this composition	0	meV per atom
crystal system	tetragonal
final energy	-8.072	eV/atom

***

[4]
Here is a relaxed structure of Cr3Ir2Rh2 from Alexandria. Energies are from PBE.

Cell and atoms, written as extended XYZ:
```
14
Lattice="-3.702 3.702 3.702 3.702 -3.702 3.702 3.702 3.702 -3.702" Properties=species:S:1:pos:R:3 pbc="T T T"
Cr 3.702 -1.851 3.020
Cr 3.020 3.702 -1.851
Cr 3.702 1.851 0.683
Cr 1.851 0.683 3.702
Cr 0.683 3.702 1.851
Cr -1.851 3.020 3.702
Ir 4.410 -0.708 0.708
Ir 0.708 4.410 -0.708
Ir -0.708 0.708 4.410
Ir 2.994 2.994 2.994
Rh 2.284 1.419 -1.419
Rh 1.419 -1.419 2.284
Rh 1.419 1.419 1.419
Rh -1.419 2.284 1.419
```

Results
crystal system	cubic
final energy	-8.473	eV/atom

***

[5]
Here is a relaxed structure of Cr3IrRh from Alexandria. Energies are from PBE.

Cell and atoms, written as extended XYZ:
```
5
Lattice="4.439 0.000 0.000 0.000 4.439 0.000 0.000 0.000 4.439" Properties=species:S:1:pos:R:3 pbc="T T T"
Cr 0.000 0.000 2.220
Cr 0.000 2.220 0.000
Cr 2.220 0.000 0.000
Ir 0.000 0.000 0.000
Rh 2.220 2.220 2.220
```

Results
energy relative to the lowest polymorph listed for this composition	0	meV per atom
crystal system	cubic
final energy	-7.445	eV/atom

***

[6]
Here is a relaxed structure of Cr3Ir3Rh2 from Alexandria. Energies are from PBE.

Cell and atoms, written as extended XYZ:
```
8
Lattice="-1.876 1.903 7.634 1.876 -1.903 7.634 1.876 1.903 -7.634" Properties=species:S:1:pos:R:3 pbc="T T T"
Cr 0.000 0.000 0.000
Cr 1.876 0.000 5.762
Cr 0.000 1.903 1.872
Ir 1.876 0.000 1.896
Ir 0.000 0.000 7.634
Ir 0.000 1.903 5.738
Rh 0.000 0.000 3.834
Rh 0.000 0.000 11.434
```

Results
crystal system	orthorhombic
final energy	-8.937	eV/atom

***

[7]
Here is a relaxed structure of CrIrRh2 from Alexandria. Energies are from PBE.

Cell and atoms, written as extended XYZ:
```
4
Lattice="4.477 -1.357 0.000 4.477 1.357 0.000 -0.857 0.000 4.553" Properties=species:S:1:pos:R:3 pbc="T T T"
Cr 0.000 0.000 0.000
Ir 4.048 0.000 2.277
Rh 1.616 0.000 3.430
Rh 6.481 0.000 1.123
```

Results
crystal system	monoclinic
final energy	-8.354	eV/atom

***

[8]
Here is a relaxed structure of Cr4IrRh5 from Alexandria. Energies are from PBE.

Cell and atoms, written as extended XYZ:
```
10
Lattice="-1.961 3.954 4.701 1.961 -3.954 4.701 1.961 3.954 -4.701" Properties=species:S:1:pos:R:3 pbc="T T T"
Cr 1.961 1.489 0.000
Cr 0.000 0.000 2.288
Cr 0.000 0.000 7.113
Cr 0.000 2.464 4.701
Ir 0.000 0.000 4.701
Rh 0.000 0.000 0.000
Rh 1.961 -1.394 3.165
Rh 0.000 2.559 1.536
Rh 1.961 1.394 3.165
Rh 0.000 5.348 1.536
```

Results
crystal system	orthorhombic
final energy	-8.190	eV/atom

***

Formation energy from the elements? In order: -0.1854 -0.0906 -0.0594 0.2831 1.5717 -0.1670 -0.0571 0.2214 eV per atom.